No. 1
SrZnCr2Ag: relaxed, PBE-GGA.

a = 5.8890 Å, b = 5.8890 Å, c = 5.7464 Å
α = 90.00°, β = 90.00°, γ = 90.00°
With the nearest neighbours (Å) after each atom.
Space group P4/mmm (No. 123)
Unique sites:
Sr (0.0000, 0.0000, 0.0000)  2 Zn 2.87, 4 Cr 2.94
Zn (0.0000, 0.0000, 0.5000)  2 Sr 2.87
Cr (0.0000, 0.5000, 0.0000)  2 Sr 2.94
Ag (0.5000, 0.5000, 0.5000)  8 Cr 4.11, 4 Zn 4.16

ΔE_f in eV/atom: 1.82


No. 2
Ce5BiPb2: relaxed, PBE-GGA.

a = 6.5927 Å, b = 12.3626 Å, c = 5.7786 Å
α = 90.00°, β = 90.00°, γ = 90.00°
With the nearest neighbours (Å) after each atom.
Space group Pbam (No. 55)
Unique sites:
Ce (0.0000, 0.0000, 0.0000)  2 Ce 3.28, 2 Bi 3.30, 4 Pb 3.43
Ce (0.0993, 0.4055, 0.5000)  1 Ce 2.68
Ce (0.1890, 0.7545, 0.0000)  3 Ce 3.28-3.30, 2 Bi 3.38-3.66, 4 Pb 3.52-3.66
Bi (0.0000, 0.5000, 0.0000)  8 Ce 3.18-3.38
Pb (0.0917, 0.1420, 0.5000)  8 Ce 3.26-3.56

ΔE_f in eV/atom: -0.41


No. 3
Ca2ScInO: relaxed, PBE-GGA.

a = 4.8247 Å, b = 4.8247 Å, c = 4.5627 Å
α = 90.00°, β = 90.00°, γ = 90.00°
With the nearest neighbours (Å) after each atom.
Space group P4/mmm (No. 123)
Unique sites:
Ca (0.0000, 0.5000, 0.0000)  2 O 2.41
Sc (0.0000, 0.0000, 0.5000)  2 O 2.28
In (0.5000, 0.5000, 0.5000)  8 Ca 3.32, 4 Sc 3.41
O (0.0000, 0.0000, 0.0000)  2 Sc 2.28, 4 Ca 2.41

DFT total energy in eV/atom: -4.9873


No. 4
Sm3Ni8Au: relaxed, PBE-GGA.

a = 5.0519 Å, b = 5.0519 Å, c = 24.9259 Å
α = 90.00°, β = 90.00°, γ = 120.00°
With the nearest neighbours (Å) after each atom.
Space group R3m (No. 160, hexagonal axes)
Unique sites:
Sm (0.0000, 0.0000, 0.0000)  12 Ni 2.84-3.05, 3 Au 3.02
Sm (0.0000, 0.0000, 0.1297)  12 Ni 2.95-3.01, 4 Sm 3.20-3.23
Sm (0.0000, 0.0000, 0.5158)  12 Ni 2.85-3.19, 1 Au 2.99
Ni (0.0000, 0.0000, 0.3189)  6 Ni 2.53-2.54
Ni (0.0000, 0.0000, 0.8192)  6 Ni 2.54-2.55
Ni (0.1677, 0.3353, 0.4020)  6 Ni 2.51-2.54
Ni (0.1684, 0.3367, 0.9025)  6 Ni 2.50-2.55
Au (0.0000, 0.0000, 0.6359)  12 Ni 2.87-3.02, 4 Sm 2.99-3.02

ΔE_f in eV/atom: -0.37


No. 5
Ba3In7Hg2: relaxed, PBE-GGA.

a = 6.3567 Å, b = 6.3567 Å, c = 31.6332 Å
α = 90.00°, β = 90.00°, γ = 120.00°
With the nearest neighbours (Å) after each atom.
Space group R-3m (No. 166, hexagonal axes)
Unique sites:
Ba (0.0000, 0.0000, 0.0000)  6 Hg 3.67, 12 In 4.11
Ba (0.0000, 0.0000, 0.1417)  12 In 3.70-3.91, 3 Ba 3.99
In (0.0000, 0.0000, 0.5000)  6 In 3.26
In (0.0043, 0.5021, 0.9178)  5 In 3.14-3.26, 2 Hg 3.16-3.21
Hg (0.0000, 0.0000, 0.3348)  6 In 3.16-3.21

ΔE_f in eV/atom: -0.37


No. 6
KBeSi2: relaxed, PBE-GGA.

a = 3.6649 Å, b = 4.3923 Å, c = 6.1753 Å
α = 100.45°, β = 107.24°, γ = 90.21°
With the nearest neighbours (Å) after each atom.
Space group P1 (No. 1)
Unique sites:
K (0.0000, 0.0000, 0.0000)  3 Be 3.25-3.31, 3 Si 3.50-3.62
Be (0.7380, 0.1319, 0.4761)  4 Si 2.21-2.27
Si (0.3048, 0.4145, 0.6078)  2 Be 2.27, 2 Si 2.40
Si (0.7125, 0.6204, 0.4210)  2 Be 2.21-2.23, 2 Si 2.40

DFT total energy in eV/atom: -3.6636


no.,total moment (μB/f.u.)
1,10.5
2,4.6
3,0.0
4,0.0
5,0.0
6,0.0